# CsNi2HgF8, optimized geometry, DFT PBE+U
data_CsNi2HgF8
_chemical_formula_sum 'Cs1 Ni2 Hg1 F8'
_cell_length_a 4.966
_cell_length_b 5.051
_cell_length_c 8.401
_cell_angle_alpha 90.57
_cell_angle_beta 93.78
_cell_angle_gamma 94.75
_symmetry_space_group_name_H-M 'P 1'
_symmetry_Int_Tables_number 1
loop_
_symmetry_equiv_pos_as_xyz
'x,y,z'
loop_
_atom_site_label
_atom_site_type_symbol
_atom_site_fract_x
_atom_site_fract_y
_atom_site_fract_z
_atom_site_occupancy
Cs1 Cs 0.000 0.000 0.000 1
Ni1 Ni 0.497 0.478 0.317 1
Ni2 Ni 0.503 0.522 0.683 1
Hg1 Hg 0.000 0.000 0.500 1
F1 F 0.160 0.264 0.313 1
F2 F 0.205 0.261 0.700 1
F3 F 0.363 0.705 0.484 1
F4 F 0.425 0.696 0.867 1
F5 F 0.575 0.304 0.133 1
F6 F 0.637 0.295 0.516 1
F7 F 0.795 0.739 0.300 1
F8 F 0.840 0.736 0.687 1
# Theoretical density in g/cm3: 4.8
# Volume in Å³ per cell: 209.5
# Final energy in eV per atom: -3.6372